No. 1
The following is a DFT calculation (GGA-PBE) of an optimized crystal structure of Na17Tl11Pd.

* crystal system: monoclinic
* ΔE_f: -0.10 eV per atom
* spin magnetization: 0.0 Bohr magnetons per cell
* density of states at the Fermi level: 15.4 states/eV/f.u.

a b c (Å): 10.3722 10.3722 10.2340
angles (deg): 109.34 109.34 110.49
Last column: nearest neighbours and their distance in Å.
Fractional positions:
Na  0.9863  0.9863  0.3358  4 Na 3.40-3.52, 6 Tl 3.50-3.80
Na  0.6610  0.6610  0.2661  1 Pd 3.26, 5 Na 3.38-3.48, 4 Tl 3.43-3.52
Na  0.6605  0.6605  0.6607  4 Na 3.35-3.53, 6 Tl 3.54-3.59
Na  0.4083  0.4083  0.7197  5 Tl 3.34-3.41, 7 Na 3.37-3.72
Na  0.0069  0.0069  0.0062  1 Pd 3.34, 4 Na 3.45-3.53, 3 Tl 3.54-3.64
Na  0.3059  0.5845  0.0040  4 Tl 3.25-3.35, 6 Na 3.26-3.63, 1 Pd 3.54
Na  0.4161  0.7159  0.4056  4 Tl 3.17-3.50, 4 Na 3.35-3.54, 1 Pd 3.40
Na  0.0059  0.3124  0.5893  5 Tl 3.30-3.58, 7 Na 3.40-3.69
Na  0.0058  0.3378  0.0032  4 Na 3.26-3.45, 1 Pd 3.35, 5 Tl 3.38-3.54
Na  0.2776  0.6936  0.6886  5 Tl 3.30-3.47, 5 Na 3.40-3.67
Na  0.5911  0.0023  0.3073  5 Tl 3.25-3.50, 5 Na 3.36-3.63
Na  0.0023  0.5911  0.3073  5 Tl 3.25-3.50, 5 Na 3.36-3.63
Na  0.6936  0.2776  0.6886  5 Tl 3.30-3.47, 5 Na 3.40-3.67
Na  0.3378  0.0058  0.0032  4 Na 3.26-3.45, 1 Pd 3.35, 5 Tl 3.38-3.54
Na  0.3124  0.0059  0.5893  5 Tl 3.30-3.58, 7 Na 3.40-3.69
Na  0.7159  0.4161  0.4056  4 Tl 3.17-3.50, 4 Na 3.35-3.54, 1 Pd 3.40
Na  0.5845  0.3059  0.0040  4 Tl 3.25-3.35, 6 Na 3.26-3.63, 1 Pd 3.54
Tl  0.2047  0.2047  0.8478  1 Pd 2.78
Tl  0.6133  0.8044  0.9964  3 Tl 3.23-3.31, 7 Na 3.25-3.54
Tl  0.2019  0.3875  0.3706  1 Pd 2.86, 1 Tl 3.16, 1 Na 3.17
Tl  0.8145  0.0019  0.6167  3 Tl 3.19-3.29, 6 Na 3.25-3.54
Tl  0.6269  0.0053  0.8135  3 Tl 3.19-3.23, 6 Na 3.31-3.50
Tl  0.8197  0.1993  0.1970  3 Tl 3.19-3.31, 6 Na 3.29-3.49
Tl  0.1993  0.8197  0.1970  3 Tl 3.19-3.31, 6 Na 3.29-3.49
Tl  0.0053  0.6269  0.8135  3 Tl 3.19-3.23, 6 Na 3.31-3.50
Tl  0.0019  0.8145  0.6167  3 Tl 3.19-3.29, 6 Na 3.25-3.54
Tl  0.3875  0.2019  0.3706  1 Pd 2.86, 1 Tl 3.16, 1 Na 3.17
Tl  0.8044  0.6133  0.9964  3 Tl 3.23-3.31, 7 Na 3.25-3.54
Pd  0.3487  0.3487  0.1797  3 Tl 2.78-2.86


No. 2
The following is a DFT calculation (GGA-PBE) of an optimized crystal structure of Na2TlPd3.

* crystal system: trigonal
* ΔE_f: -0.25 eV per atom
* spin magnetization: 0.0 Bohr magnetons per cell
* density of states at the Fermi level: 2.5 states/eV/f.u.

a b c (Å): 5.5255 5.5255 5.5255
angles (deg): 60.86 60.86 60.86
Last column: nearest neighbours and their distance in Å.
Fractional positions:
Na  0.3817  0.3817  0.3817  4 Na 3.18-3.48, 9 Pd 3.22-3.31, 3 Tl 3.30
Na  0.6183  0.6183  0.6183  4 Na 3.18-3.48, 9 Pd 3.22-3.31, 3 Tl 3.30
Tl  0.0000  0.0000  0.0000  6 Pd 2.76
Pd  0.0000  0.0000  0.5000  2 Tl 2.76, 4 Pd 2.80
Pd  0.5000  0.0000  0.0000  2 Tl 2.76, 4 Pd 2.80
Pd  0.0000  0.5000  0.0000  2 Tl 2.76, 4 Pd 2.80


No. 3
The following is a DFT calculation (GGA-PBE) of an optimized crystal structure of Na3Tl2Pd2.

* crystal system: monoclinic
* ΔE_f: -0.20 eV per atom
* spin magnetization: 0.0 Bohr magnetons per cell
* density of states at the Fermi level: 2.5 states/eV/f.u.

a b c (Å): 4.8725 4.8851 8.2783
angles (deg): 107.46 90.00 119.91
Last column: nearest neighbours and their distance in Å.
Fractional positions:
Na  0.5000  0.0000  0.0000  6 Pd 3.17-3.18, 2 Na 3.20, 6 Tl 3.20-3.21
Na  0.6371  0.2742  0.4118  4 Pd 3.10-3.31, 4 Na 3.13-3.20, 3 Tl 3.27-3.29
Na  0.3629  0.7258  0.5882  4 Pd 3.10-3.31, 4 Na 3.13-3.20, 3 Tl 3.27-3.29
Tl  0.8991  0.7983  0.1965  4 Pd 2.81-3.00
Tl  0.1009  0.2017  0.8035  4 Pd 2.81-3.00
Pd  0.7697  0.5395  0.8109  4 Tl 2.81-3.00, 1 Na 3.10
Pd  0.2303  0.4605  0.1891  4 Tl 2.81-3.00, 1 Na 3.10